The following is a PBE calculation of a relaxed structure of HfRuCl2, from Alexandria.

POSCAR file:
```
HfRuCl2
1.0
-1.633 -1.367 3.931
0.030 2.762 3.516
-3.838 1.701 1.540
Ru Hf Cl
1 1 2
Direct
0.000 0.000 0.000 Ru
0.500 0.500 0.500 Hf
0.250 0.250 0.250 Cl
0.750 0.750 0.750 Cl
```

## Properties
Space group: Fm-3m, No. 225
Calculated density (Mg/m³): 9.21
Crystal system: cubic
Raw formation energy (meV/atom): 197

---

The following is a PBE calculation of a relaxed structure of Hf3RuCl, from Alexandria.

POSCAR file:
```
Hf3RuCl
1.0
5.036 0.000 0.000
0.000 5.036 0.000
0.000 0.000 5.036
Ru Hf Cl
1 3 1
Direct
0.000 0.000 0.000 Ru
0.000 0.500 0.000 Hf
0.000 0.000 0.500 Hf
0.500 0.000 0.000 Hf
0.500 0.500 0.500 Cl
```

## Properties
Space group: Pm-3m, No. 221
Calculated density (Mg/m³): 8.74
Crystal system: cubic
Raw formation energy (meV/atom): 317

---

The following is a PBE calculation of a relaxed structure of HfRu2Cl, from Alexandria.

POSCAR file:
```
HfRu2Cl
1.0
-5.106 1.849 0.752
-1.772 -3.249 -4.045
-4.394 -4.872 2.122
Ru Hf Cl
4 2 2
Direct
0.575 0.125 0.250 Ru
0.175 0.625 0.250 Ru
0.375 0.425 0.750 Ru
0.875 0.825 0.750 Ru
0.000 0.000 0.000 Hf
0.750 0.250 0.500 Hf
0.500 0.500 0.000 Cl
0.250 0.750 0.500 Cl
```

## Properties
Space group: I-42d, No. 122
Calculated density (Mg/m³): 8.06
Crystal system: tetragonal
Raw formation energy (meV/atom): 666

---

The following is a PBE calculation of a relaxed structure of Hf2RuCl, from Alexandria.

POSCAR file:
```
Hf2RuCl
1.0
-2.444 -4.731 1.279
1.138 -1.938 -4.994
5.105 -5.706 0.375
Ru Hf Cl
2 4 2
Direct
0.000 0.000 0.000 Ru
0.750 0.250 0.500 Ru
0.647 0.125 0.250 Hf
0.103 0.625 0.250 Hf
0.375 0.353 0.750 Hf
0.875 0.897 0.750 Hf
0.500 0.500 0.000 Cl
0.250 0.750 0.500 Cl
```

## Properties
Space group: I-42d, No. 122
Calculated density (Mg/m³): 8.26
Crystal system: tetragonal
Raw formation energy (meV/atom): 170

---

The following is a PBE calculation of a relaxed structure of HfRu2Cl, from Alexandria.

POSCAR file:
```
HfRu2Cl
1.0
3.212 -0.683 -3.097
2.963 -3.364 0.526
-0.193 -3.619 -2.692
Ru Hf Cl
2 1 1
Direct
0.250 0.250 0.250 Ru
0.750 0.750 0.750 Ru
0.500 0.500 0.500 Hf
0.000 0.000 0.000 Cl
```

## Properties
Space group: Fm-3m, No. 225
Calculated density (Mg/m³): 10.62
Crystal system: cubic
Raw formation energy (meV/atom): 427

---

The following is a PBE calculation of a relaxed structure of Hf3RuCl, from Alexandria.

POSCAR file:
```
Hf3RuCl
1.0
4.634 0.000 0.000
0.000 4.634 0.000
0.000 0.000 4.634
Ru Hf Cl
1 3 1
Direct
0.500 0.500 0.500 Ru
0.000 0.500 0.000 Hf
0.000 0.000 0.500 Hf
0.500 0.000 0.000 Hf
0.000 0.000 0.000 Cl
```

## Properties
Space group: Pm-3m, No. 221
Calculated density (Mg/m³): 11.21
Crystal system: cubic
Raw formation energy (meV/atom): 287

---

The following is a PBE calculation of a relaxed structure of HfRuCl2, from Alexandria.

POSCAR file:
```
HfRuCl2
1.0
-3.467 4.215 -1.404
-3.253 -1.195 4.444
-0.542 4.811 4.471
Ru Hf Cl
2 2 4
Direct
0.500 0.500 0.000 Ru
0.250 0.750 0.500 Ru
0.000 0.000 0.000 Hf
0.750 0.250 0.500 Hf
0.609 0.125 0.250 Cl
0.141 0.625 0.250 Cl
0.375 0.391 0.750 Cl
0.875 0.859 0.750 Cl
```

## Properties
Space group: I-42d, No. 122
Calculated density (Mg/m³): 6.98
Crystal system: tetragonal
Raw formation energy (meV/atom): 357

---

The following is a PBE calculation of a relaxed structure of HfRuCl2, from Alexandria.

POSCAR file:
```
HfRuCl2
1.0
2.040 -7.954 2.417
4.785 -6.978 1.298
3.964 -6.298 4.231
Ru Hf Cl
1 1 2
Direct
0.000 0.000 0.000 Ru
0.500 0.500 0.500 Hf
0.908 0.908 0.908 Cl
0.092 0.092 0.092 Cl
```

## Properties
Space group: R-3m, No. 166
Calculated density (Mg/m³): 8.25
Crystal system: trigonal
Raw formation energy (meV/atom): -243

---

| no. | DFT total energy (eV/atom) |
| --- | --- |
| 1 | -5.534 |
| 2 | -7.880 |
| 3 | -6.922 |
| 4 | -7.587 |
| 5 | -7.161 |
| 6 | -7.910 |
| 7 | -5.374 |
| 8 | -5.974 |